# 1
The following is a GGA-PBE calculation of a geometry-optimized AcZnInSn structure, from Alexandria via LeMat-Bulk.

- E_form (meV/atom) = -241
- spin magnetization (μB/f.u.) = 0.0

abc: 5.404 5.404 5.404
angles: 60.00 60.00 60.00
Sites, in units of the cell vectors:
Zn  0.500  0.500  0.500
Ac  0.750  0.750  0.750
Sn  0.000  0.000  0.000
In  0.250  0.250  0.250

# 2
The following is a GGA-PBE calculation of a geometry-optimized AgPbCl2 structure, from Alexandria via LeMat-Bulk.

- formation energy from raw total energies (meV per atom) = -486.5
- spin magnetization (μB/f.u.) = 0.0

abc: 8.608 8.608 8.608
angles: 24.83 24.83 24.83
Sites, in units of the cell vectors:
Pb  0.250  0.250  0.250
Ag  0.750  0.750  0.750
Cl  0.014  0.014  0.014
Cl  0.486  0.486  0.486

# 3
The following is a GGA-PBE calculation of a geometry-optimized NdLuPt2 structure, from Alexandria via LeMat-Bulk.

- E_form (meV/atom) = -1141
- spin magnetization (μB/f.u.) = 0.0

abc: 4.985 4.985 4.985
angles: 60.00 60.00 60.00
Sites, in units of the cell vectors:
Lu  0.500  0.500  0.500
Nd  0.000  0.000  0.000
Pt  0.250  0.250  0.250
Pt  0.750  0.750  0.750

# 4
The following is a GGA-PBE calculation of a geometry-optimized Sm2GdTe structure, from Alexandria via LeMat-Bulk.

- formation energy from raw total energies (meV per atom) = -585.7
- spin magnetization (μB/f.u.) = 8.0

abc: 3.965 3.965 7.805
angles: 90.00 90.00 90.00
Each line ends with the local moment (μB).
Sites, in units of the cell vectors:
Gd  0.500  0.500  0.000  7.28
Te  0.500  0.500  0.500  0.00
Sm  0.000  0.000  0.723  0.07
Sm  0.000  0.000  0.277  0.07

- What is the formula in the first record?
  AcZnInSn

- Among the records above, which one has the highest spin magnetization?
  Sm2GdTe